A plane-wave DFT calculation with GGA-PBE was carried out for a geometry-optimized Ti3Al2Hg structure.

Output
M_tot = 0.00 μB/f.u.
E_form = -0.280 eV/atom
Fermi-level density of states = 0.9288 states/eV/atom
DFT total energy = -0.2031 Ha/atom

a b c (Å): 2.860 2.860 12.454
angles (deg): 90.00 90.00 90.00
Space group P4/mmm (No. 123)
Inequivalent atoms, fractional coordinates:
1 Ti 0.000 0.000 0.000 x1
2 Ti 0.000 0.000 0.315 x2
3 Al 0.500 0.500 0.160 x2
4 Hg 0.500 0.500 0.500 x1


A plane-wave DFT calculation with GGA-PBE was carried out for a geometry-optimized Ti2AlHg2 structure.

Output
M_tot = 0.00 μB/f.u.
E_form = 0.119 eV/atom
Fermi-level density of states = 1.1562 states/eV/atom
DFT total energy = -0.1436 Ha/atom
Distance to the lowest polymorph of the same formula = 0.0000 eV/atom

a b c (Å): 6.978 6.978 3.965
angles (deg): 90.00 90.00 90.00
Space group P4/mbm (No. 127)
Inequivalent atoms, fractional coordinates:
1 Ti 0.164 0.336 0.000 x4
2 Al 0.000 0.000 0.500 x2
3 Hg 0.141 0.641 0.500 x4


A plane-wave DFT calculation with GGA-PBE was carried out for a geometry-optimized Ti2AlHg structure.

Output
M_tot = 0.87 μB/f.u.
E_form = -0.005 eV/atom
Fermi-level density of states = 1.0652 states/eV/atom
DFT total energy = -0.1824 Ha/atom
Distance to the lowest polymorph of the same formula = 0.2143 eV/atom

a b c (Å): 2.9765 2.9765 28.3809
angles (deg): 90.00 90.00 120.00
Space group R3m (No. 160, hexagonal axes)
Inequivalent atoms, fractional coordinates:
1 Ti 0.0000 0.0000 0.0000 x3
2 Ti 0.0000 0.0000 0.1737 x3
3 Al 0.0000 0.0000 0.5866 x3
4 Hg 0.0000 0.0000 0.7537 x3